YTmBi | PBE-GGA | relaxed

abc: 7.264 7.264 7.264
angles: 90.00 90.00 90.00
Space group F-43m (No. 216)
Inequivalent atoms, fractional coordinates:
Y 0.000 0.000 0.000
Tm 0.000 0.000 0.500
Bi 0.250 0.250 0.750

***

YTm2Bi3 | PBE-GGA | relaxed

abc: 4.4370 4.4370 10.8796
angles: 90.00 90.00 120.00
Space group P-3m1 (No. 164)
Inequivalent atoms, fractional coordinates:
Y 0.0000 0.0000 0.0000
Tm 0.3333 0.6667 0.3344
Bi 0.0000 0.0000 0.5000
Bi 0.3333 0.6667 0.8302

***

Tm5Zn2Bi | PBE-GGA | relaxed

abc: 8.030 8.030 12.703
angles: 90.00 90.00 90.00
Space group I4/mcm (No. 140)
Inequivalent atoms, fractional coordinates:
Tm 0.000 0.000 0.000
Tm 0.152 0.348 0.142
Zn 0.140 0.360 0.500
Bi 0.000 0.000 0.250

***

TmZrBi | PBE-GGA | relaxed

abc: 7.041 7.041 7.041
angles: 90.00 90.00 90.00
Space group F-43m (No. 216)
Inequivalent atoms, fractional coordinates:
Tm 0.000 0.000 0.000
Zr 0.000 0.000 0.500
Bi 0.250 0.250 0.250

***

| no. | total DFT energy (no corrections) (eV per cell) |
| --- | --- |
| 1 | -63.04 |
| 2 | -32.58 |
| 3 | -128.78 |
| 4 | -68.28 |